Density functional theory data (PBE) for crystalline Sr2ZnCu at its relaxed geometry.

a = 3.6926 Å, b = 3.6926 Å, c = 8.5943 Å
α = 90.00°, β = 90.00°, γ = 90.00°
Space group P4mm (No. 99)
Asymmetric unit:
Sr 0.0000 0.0000 0.0000 [1 per cell]
Sr 0.5000 0.5000 0.4043 [1 per cell]
Zn 0.0000 0.0000 0.6409 [1 per cell]
Cu 0.5000 0.5000 0.7643 [1 per cell]

Calculated values
Total moment = 0.00 μB per formula unit
Total energy = -2.18 eV/atom

---

Density functional theory data (PBE) for crystalline RbTi2BeAs at its relaxed geometry.

a = 4.9007 Å, b = 4.9007 Å, c = 6.2227 Å
α = 90.00°, β = 90.00°, γ = 90.00°
Space group P4/mmm (No. 123)
Asymmetric unit:
Rb 0.0000 0.0000 0.0000 [1 per cell]
Ti 0.0000 0.5000 0.5000 [2 per cell]
Be 0.5000 0.5000 0.0000 [1 per cell]
As 0.0000 0.0000 0.5000 [1 per cell]

Calculated values
Total moment = 3.78 μB per formula unit
Total energy = -4.11 eV/atom

---

Density functional theory data (PBE) for crystalline BaH3Rh at its relaxed geometry.

a = 5.3035 Å, b = 5.3035 Å, c = 16.0359 Å
α = 90.00°, β = 90.00°, γ = 120.00°
Space group R-3m (No. 166, hexagonal axes)
Asymmetric unit:
Ba 0.0000 0.0000 0.1086 [6 per cell]
H 0.0040 0.5020 0.9382 [18 per cell]
Rh 0.0000 0.0000 0.3329 [6 per cell]

Calculated values
Total moment = 0.00 μB per formula unit
Total energy = -4.22 eV/atom

---

Density functional theory data (PBE) for crystalline Na2MgCd2In5 at its relaxed geometry.

a = 10.6679 Å, b = 10.6679 Å, c = 4.6207 Å
α = 90.00°, β = 90.00°, γ = 90.00°
Space group P4/mbm (No. 127)
Asymmetric unit:
Na 0.1734 0.3266 0.0000 [4 per cell]
Mg 0.0000 0.0000 0.0000 [2 per cell]
Cd 0.1268 0.6268 0.0000 [4 per cell]
In 0.0000 0.5000 0.5000 [2 per cell]
In 0.0558 0.8027 0.5000 [8 per cell]

Calculated values
Total moment = 0.00 μB per formula unit
Total energy = -2.03 eV/atom

---

- The highest total moment belongs to which entry?
  RbTi2BeAs

---

- What is the total moment in the third record?
  0.00 μB per formula unit